Sc5HgPd6: relaxed, PBE.

The structure in extended XYZ format:
```
12
Lattice="-3.9458 1.0603 -2.2478 -1.2656 -7.0109 3.7509 2.0084 6.4640 4.3596" Properties=species:S:1:pos:R:3 pbc="T T T"
Sc -0.4707 4.9108 3.1416
Sc -1.6015 0.2567 2.9314
Sc 0.9320 2.0337 4.1595
Sc -0.1891 -2.5806 3.9510
Sc -2.7323 -4.3975 2.7211
Pd -2.8650 0.6734 0.5025
Pd -1.7832 2.7253 4.4214
Pd -0.3380 -0.1600 5.3603
Pd -0.2786 2.4847 1.6535
Pd -1.4198 -2.2119 1.4413
Pd -2.9243 -1.9714 4.2093
Hg 0.0000 0.0000 0.0000
```

- D(E_F): 0.6399 states/eV/atom
- ΔH_f (0 K): -9.97 eV per formula unit

=====

ScHgPd4: relaxed, PBE.

The structure in extended XYZ format:
```
6
Lattice="3.7514 0.0000 1.0850 2.0924 4.5893 -0.2067 0.2292 -1.6624 6.2351" Properties=species:S:1:pos:R:3 pbc="T T T"
Pd 1.6939 2.0232 1.1709
Pd 1.3250 -0.5506 2.4467
Pd 4.3791 0.9037 5.9425
Pd 4.7481 3.4775 4.6668
Sc 3.0365 1.4635 3.5567
Hg 0.0000 0.0000 0.0000
```

- D(E_F): 0.4528 states/eV/atom
- ΔH_f (0 K): -3.24 eV per formula unit

=====

Sc3Hg3Pd2: relaxed, PBE.

The structure in extended XYZ format:
```
8
Lattice="3.3673 0.0000 0.0000 0.0000 6.4487 -3.7232 0.0000 0.0000 7.4463" Properties=species:S:1:pos:R:3 pbc="T T T"
Sc 1.6837 2.6834 1.5492
Sc 1.6837 0.0000 4.3479
Sc 1.6837 3.7654 -2.1739
Hg 0.0000 4.9313 2.8471
Hg 0.0000 1.5175 -0.8761
Hg 0.0000 0.0000 1.7522
Pd 0.0000 4.2992 0.0000
Pd 0.0000 2.1496 3.7232
```

- D(E_F): 0.7953 states/eV/atom
- ΔH_f (0 K): -4.93 eV per formula unit

=====

ScHgPd3: relaxed, PBE.

The structure in extended XYZ format:
```
5
Lattice="-0.7372 -1.2256 -4.7613 -2.1038 -4.2729 1.4256 -4.4437 2.2262 0.1150" Properties=species:S:1:pos:R:3 pbc="T T T"
Pd -2.2218 1.1131 0.0575
Pd -0.3686 -0.6128 -2.3807
Pd -1.0519 -2.1364 0.7128
Hg 0.0000 0.0000 0.0000
Sc -3.6423 -1.6361 -1.6104
```

- D(E_F): 0.9259 states/eV/atom
- ΔH_f (0 K): 2.79 eV per formula unit

=====

Sc8HgPd2: relaxed, PBE.

The structure in extended XYZ format:
```
11
Lattice="-0.5603 -3.4667 -2.9202 6.2484 -3.1061 2.4885 -6.5278 -0.2180 5.0828" Properties=species:S:1:pos:R:3 pbc="T T T"
Sc -2.7734 -5.8283 3.8795
Sc 2.9588 -5.1245 1.9442
Sc 0.2672 -3.7877 0.8736
Sc -1.1069 -3.0031 3.7774
Sc -1.0339 -0.9823 1.3645
Sc 1.9337 -0.9625 0.7716
Sc 0.1943 -5.8085 3.2865
Sc -3.7985 -1.6663 2.7068
Pd 1.7328 -2.8765 3.0824
Pd -2.5724 -3.9142 1.5687
Hg -0.2801 -1.7334 -1.4601
```

- D(E_F): 1.2158 states/eV/atom
- ΔH_f (0 K): -3.52 eV per formula unit

=====

ScHg2Pd5: relaxed, PBE.

The structure in extended XYZ format:
```
16
Lattice="-1.7437 4.9341 4.8939 -2.3259 -5.1689 4.3827 7.1145 -0.2875 -2.4201" Properties=species:S:1:pos:R:3 pbc="T T T"
Pd 1.1609 -2.6876 1.5833
Pd 1.8841 2.1652 5.2732
Pd 0.9400 3.8127 3.2758
Pd 2.1050 -4.3351 3.5806
Pd 2.2759 -1.3685 3.7307
Pd 0.0000 0.0000 0.0000
Pd -2.0348 -0.1174 4.6383
Pd 0.7690 0.8461 3.1257
Pd -0.0340 -2.7566 4.3071
Pd 3.0790 2.2342 2.5493
Hg -2.9945 0.8236 7.0080
Hg -1.0750 -1.0585 2.2686
Hg -2.5830 -2.6664 5.4285
Hg -1.4865 2.4315 3.8481
Sc 0.5051 -0.3199 5.7474
Sc 2.5399 -0.2025 1.1091
```

- D(E_F): 0.2925 states/eV/atom
- ΔH_f (0 K): -2.81 eV per formula unit